DFT (PBE) results for an optimized crystal structure of AcPmBi2.

Properties
SG	R-3m
E	-5.116	eV/atom
DFT formation energy	-0.961	eV per atom

Lattice parameters (Å, degrees): 4.731 4.731 8.194 73.20 73.20 60.03
Positions (direct):
Ac 0.500 0.500 0.500
Pm 0.000 0.000 0.000
Bi 0.745 0.745 0.766
Bi 0.255 0.255 0.234